(1)
! AlH2Pb (GGA-PBE, relaxed); values from VASP
&SYSTEM
  ibrav = 0, nat = 8, ntyp = 3
/
ATOMIC_SPECIES
Pb 207.20 Pb.upf
H 1.01 H.upf
Al 26.98 Al.upf
ATOMIC_POSITIONS crystal
Pb 0.000 0.000 0.000
Pb 0.750 0.250 0.500
H 0.311 0.125 0.250
H 0.439 0.625 0.250
H 0.375 0.689 0.750
H 0.875 0.561 0.750
Al 0.500 0.500 0.000
Al 0.250 0.750 0.500
CELL_PARAMETERS angstrom
5.518 0.000 0.000
0.000 5.518 0.000
2.759 2.759 3.906
! E   -3.238 eV per atom
! Symmetry   I-42d, No. 122

---

(2)
! Al2H6Pb (GGA-PBE, relaxed); values from VASP
&SYSTEM
  ibrav = 0, nat = 9, ntyp = 3
/
ATOMIC_SPECIES
Al 26.98 Al.upf
H 1.01 H.upf
Pb 207.20 Pb.upf
ATOMIC_POSITIONS crystal
Al 0.750 0.750 0.750
Al 0.250 0.250 0.250
H 0.262 0.738 0.738
H 0.738 0.738 0.262
H 0.738 0.262 0.738
H 0.738 0.262 0.262
H 0.262 0.262 0.738
H 0.262 0.738 0.262
Pb 0.000 0.000 0.000
CELL_PARAMETERS angstrom
4.669 0.000 2.696
1.556 4.402 2.696
0.000 0.000 5.391
! E   -2.659 eV per atom
! Symmetry   Fm-3m, No. 225

---

(3)
! AlH2Pb (GGA-PBE, relaxed); values from VASP
&SYSTEM
  ibrav = 0, nat = 4, ntyp = 3
/
ATOMIC_SPECIES
Pb 207.20 Pb.upf
H 1.01 H.upf
Al 26.98 Al.upf
ATOMIC_POSITIONS crystal
Pb 0.500 0.500 0.500
H 0.250 0.250 0.250
H 0.750 0.750 0.750
Al 0.000 0.000 0.000
CELL_PARAMETERS angstrom
-0.742 -0.134 4.238
-4.039 0.125 1.483
-1.753 -3.512 1.768
! E   -2.839 eV per atom
! Symmetry   Fm-3m, No. 225

---

(4)
! AlHPb (GGA-PBE, relaxed); values from VASP
&SYSTEM
  ibrav = 0, nat = 12, ntyp = 3
/
ATOMIC_SPECIES
Pb 207.20 Pb.upf
H 1.01 H.upf
Al 26.98 Al.upf
ATOMIC_POSITIONS crystal
Pb 0.250 0.250 0.518
Pb 0.250 0.750 0.018
Pb 0.750 0.750 0.482
Pb 0.750 0.250 0.982
H 0.997 0.250 0.323
H 0.503 0.750 0.823
H 0.003 0.750 0.677
H 0.497 0.250 0.177
Al 0.016 0.250 0.808
Al 0.484 0.750 0.308
Al 0.984 0.750 0.192
Al 0.516 0.250 0.692
CELL_PARAMETERS angstrom
-7.132 6.031 5.286
-0.745 -2.542 1.896
4.441 1.712 4.039
! E   -3.367 eV per atom
! Symmetry   Pnma, No. 62

---

- The lowest E belongs to which entry?
  AlHPb

---

Copy entry 3 word for word.
! AlH2Pb (GGA-PBE, relaxed); values from VASP
&SYSTEM
  ibrav = 0, nat = 4, ntyp = 3
/
ATOMIC_SPECIES
Pb 207.20 Pb.upf
H 1.01 H.upf
Al 26.98 Al.upf
ATOMIC_POSITIONS crystal
Pb 0.500 0.500 0.500
H 0.250 0.250 0.250
H 0.750 0.750 0.750
Al 0.000 0.000 0.000
CELL_PARAMETERS angstrom
-0.742 -0.134 4.238
-4.039 0.125 1.483
-1.753 -3.512 1.768
! E   -2.839 eV per atom
! Symmetry   Fm-3m, No. 225

---

- E of number 1 (AlH2Pb)?
  -3.238 eV per atom

---

- Which of these has the lowest E?
  AlHPb